No. 1
This record from the Alexandria database describes a geometry-optimized LiMnHPd2 structure. The functional is PBE. Values from VASP.

- VASP energy: -5.192 eV/atom
- Offset from the most stable computed form: 0.248 eV per formula unit

Structure (Quantum ESPRESSO input):
```
&SYSTEM
  ibrav = 0, nat = 5, ntyp = 4
/
ATOMIC_SPECIES
Mn 54.94 Mn.upf
Pd 106.42 Pd.upf
H 1.01 H.upf
Li 6.94 Li.upf
ATOMIC_POSITIONS crystal
Mn 0.0000 0.0000 0.5000
Pd 0.5000 0.0000 0.0000
Pd 0.0000 0.5000 0.0000
H 0.0000 0.0000 0.0000
Li 0.5000 0.5000 0.5000
CELL_PARAMETERS angstrom
-3.1109 1.8285 1.7634
-1.8203 0.3401 -3.5639
-1.6727 -3.3605 0.5337
```

No. 2
This record from the Alexandria database describes a geometry-optimized NdSm2Al structure. The functional is PBE. Values from VASP.

- VASP energy: -4.498 eV/atom
- Offset from the most stable computed form: 0.688 eV per formula unit
- Formation energy from the elements: -0.011 eV/atom

Structure (Quantum ESPRESSO input):
```
&SYSTEM
  ibrav = 0, nat = 4, ntyp = 3
/
ATOMIC_SPECIES
Sm 150.36 Sm.upf
Al 26.98 Al.upf
Nd 144.24 Nd.upf
ATOMIC_POSITIONS crystal
Sm 0.7500 0.7500 0.7500
Sm 0.2500 0.2500 0.2500
Al 0.5000 0.5000 0.5000
Nd 0.0000 0.0000 0.0000
CELL_PARAMETERS angstrom
5.4752 0.0000 0.0000
2.7376 4.7417 0.0000
2.7376 1.5806 4.4705
```

No. 3
This record from the Alexandria database describes a geometry-optimized LiScIr2 structure. The functional is PBE. Values from VASP.

- VASP energy: -6.843 eV/atom
- Formation energy from the elements: -0.351 eV/atom

Structure (Quantum ESPRESSO input):
```
&SYSTEM
  ibrav = 0, nat = 4, ntyp = 3
/
ATOMIC_SPECIES
Li 6.94 Li.upf
Ir 192.22 Ir.upf
Sc 44.96 Sc.upf
ATOMIC_POSITIONS crystal
Li 0.5000 0.5000 0.0000
Ir 0.0000 0.0000 0.0000
Ir 0.2500 0.7500 0.5000
Sc 0.7500 0.2500 0.5000
CELL_PARAMETERS angstrom
-1.3042 3.5344 -3.2357
-4.6491 -0.4175 -1.6956
2.0956 -0.0190 4.5024
```

> What is the formula in the first record?

LiMnHPd2